[1]
VASP calculation (GGA-PBE) on Ta2BeCd after structural relaxation.

```
4
Lattice="9.675 0.029 0.017 9.239 2.872 0.017 9.239 1.417 2.498" Properties=species:S:1:pos:R:3 pbc="T T T"
Be 7.038 1.080 0.633
Cd 21.115 3.239 1.900
Ta 27.903 4.281 2.510
Ta 14.328 2.198 1.289
```

Formation enthalpy at 0 K, eV/atom: 0.41
VASP energy, eV/atom: -6.6807
Offset from the most stable computed form, meV per atom: 292

***

[2]
VASP calculation (GGA-PBE) on LiBe2Tc after structural relaxation.

```
4
Lattice="8.458 0.007 0.004 8.049 2.597 0.004 8.049 1.270 2.266" Properties=species:S:1:pos:R:3 pbc="T T T"
Be 0.097 0.015 0.009
Be 12.181 1.922 1.128
Li 6.139 0.968 0.568
Tc 18.417 2.905 1.705
```

Formation enthalpy at 0 K, eV/atom: 0.21
VASP energy, eV/atom: -4.7218
Offset from the most stable computed form, meV per atom: 262

***

[3]
VASP calculation (GGA-PBE) on SiGe2Rh2 after structural relaxation.

```
10
Lattice="7.303 0.000 0.000 0.000 7.303 0.000 0.000 0.000 2.878" Properties=species:S:1:pos:R:3 pbc="T T T"
Ge 1.091 4.743 1.439
Ge 4.743 6.212 1.439
Ge 6.212 2.560 1.439
Ge 2.560 1.091 1.439
Rh 2.569 6.221 0.000
Rh 6.221 4.734 0.000
Rh 4.734 1.082 0.000
Rh 1.082 2.569 0.000
Si 0.000 0.000 0.000
Si 3.651 3.651 0.000
```

VASP energy, eV/atom: -6.0658
Raw formation energy, eV/atom: -0.1937